Record 1
InNiP2 after structural relaxation. Source: the Alexandria database, functional GGA-PBE.

Cell: 3.153 5.819 7.750 Å, 90.00 90.00 90.00°
Space group Imm2 (No. 44)
Asymmetric unit:
In: 0.000 0.000 0.000 (multiplicity 2)
Ni: 0.000 0.500 0.786 (multiplicity 2)
P: 0.000 0.000 0.487 (multiplicity 2)
P: 0.000 0.500 0.187 (multiplicity 2)

volume	17.8	Å³/atom
calculated total energy	-4.543	eV per atom

---

Record 2
Bi2SbAs3 after structural relaxation. Source: the Alexandria database, functional GGA-PBE.

Cell: 4.226 12.713 6.024 Å, 90.00 90.00 90.00°
Space group Pmmn (No. 59, origin choice 2)
Asymmetric unit:
Bi: 0.250 0.082 0.239 (multiplicity 4)
Sb: 0.250 0.750 0.272 (multiplicity 2)
As: 0.250 0.091 0.757 (multiplicity 4)
As: 0.250 0.750 0.730 (multiplicity 2)

volume	27.0	Å³/atom
formation energy from raw total energies	0.025	eV/atom
calculated total energy	-4.281	eV per atom

---

Record 3
La7PtI12 after structural relaxation. Source: the Alexandria database, functional GGA-PBE.

Cell: 16.4290 16.4290 11.1122 Å, 90.00 90.00 120.00°
Space group R-3 (No. 148, hexagonal axes)
Asymmetric unit:
La: 0.0000 0.0000 0.0000 (multiplicity 3)
La: 0.0422 0.1609 0.3483 (multiplicity 18)
Pt: 0.0000 0.0000 0.5000 (multiplicity 3)
I: 0.0222 0.5868 0.1591 (multiplicity 18)
I: 0.0492 0.1839 0.8425 (multiplicity 18)

volume	43.3	Å³/atom
formation energy from raw total energies	-1.404	eV/atom
calculated total energy	-4.361	eV per atom

---

Record 4
Rb2Tl3Pt6 after structural relaxation. Source: the Alexandria database, functional GGA-PBE.

Cell: 8.0932 8.0932 4.5184 Å, 90.00 90.00 120.00°
Space group P-62m (No. 189)
Asymmetric unit:
Rb: 0.3333 0.6667 0.0000 (multiplicity 2)
Tl: 0.0000 0.5830 0.5000 (multiplicity 3)
Pt: 0.0000 0.2148 0.5000 (multiplicity 3)
Pt: 0.0000 0.8014 0.0000 (multiplicity 3)

volume	23.3	Å³/atom
calculated total energy	-4.074	eV per atom

---

Record 5
Na3Ce2S4 after structural relaxation. Source: the Alexandria database, functional GGA-PBE.

Cell: 7.114 4.107 16.616 Å, 90.00 90.05 90.00°
Space group C2/m (No. 12)
Asymmetric unit:
Na: 0.000 0.000 0.000 (multiplicity 2)
Na: 0.166 0.500 0.602 (multiplicity 4)
Ce: 0.167 0.500 0.201 (multiplicity 4)
S: 0.001 0.000 0.297 (multiplicity 4)
S: 0.166 0.500 0.893 (multiplicity 4)

volume	27.0	Å³/atom
formation energy from raw total energies	-1.517	eV/atom
calculated total energy	-5.110	eV per atom

---

Record 6
NaTl6Cd2 after structural relaxation. Source: the Alexandria database, functional GGA-PBE.

Cell: 12.138 14.755 6.001 Å, 90.00 101.79 90.00°
Space group C2/c (No. 15)
Asymmetric unit:
Na: 0.000 0.098 0.250 (multiplicity 4)
Tl: 0.061 0.302 0.033 (multiplicity 8)
Tl: 0.159 0.092 0.792 (multiplicity 8)
Tl: 0.231 0.330 0.674 (multiplicity 8)
Cd: 0.115 0.493 0.391 (multiplicity 8)

volume	29.2	Å³/atom
calculated total energy	-1.939	eV per atom

---

Record 7
ZnP2CS after structural relaxation. Source: the Alexandria database, functional GGA-PBE.

Cell: 4.564 4.564 4.649 Å, 90.00 90.00 90.00°
Space group P4/mmm (No. 123)
Asymmetric unit:
Zn: 0.000 0.000 0.000 (multiplicity 1)
P: 0.000 0.500 0.000 (multiplicity 2)
C: 0.500 0.500 0.500 (multiplicity 1)
S: 0.000 0.000 0.500 (multiplicity 1)

volume	19.4	Å³/atom
formation energy from raw total energies	2.184	eV/atom
calculated total energy	-2.905	eV per atom

---

Record 8
SbH3Au after structural relaxation. Source: the Alexandria database, functional GGA-PBE.

Cell: 3.879 3.879 3.879 Å, 90.00 90.00 90.00°
Space group Pm-3m (No. 221)
Asymmetric unit:
Sb: 0.000 0.000 0.000 (multiplicity 1)
H: 0.000 0.500 0.500 (multiplicity 3)
Au: 0.500 0.500 0.500 (multiplicity 1)

volume	11.7	Å³/atom
calculated total energy	-2.822	eV per atom